The following is a GGA+U calculation of a relaxed structure of NaV2BO6, from Alexandria via LeMat-Bulk.

Geometry as POSCAR:
```
NaV2BO6
1.0
-0.218 5.856 -0.200
-2.727 2.449 6.117
6.220 2.651 2.267
B O V Na
2 12 4 2
Direct
0.250 0.196 0.804 B
0.750 0.804 0.196 B
0.705 0.793 0.004 O
0.795 0.996 0.207 O
0.205 0.004 0.793 O
0.295 0.207 0.996 O
0.482 0.200 0.643 O
0.064 0.732 0.621 O
0.564 0.621 0.732 O
0.518 0.800 0.357 O
0.982 0.643 0.200 O
0.018 0.357 0.800 O
0.936 0.268 0.379 O
0.436 0.379 0.268 O
0.847 0.616 0.792 V
0.153 0.384 0.208 V
0.347 0.792 0.616 V
0.653 0.208 0.384 V
0.750 0.128 0.872 Na
0.250 0.872 0.128 Na
```

Summary:
Space group ... C2/c (15)
E ... -72.828 eV/f.u.